RbNaZn2 PBE optimized geometry; total DFT energy (no corrections) = -0.979 eV/atom; density = 3.0 g/cm³; energy relative to the elements = 0.918 eV/f.u.; distance to the lowest polymorph of the same formula = 0.024 eV/atom; crystal system = cubic
1.0
0.0000 4.0514 4.0514
4.0514 0.0000 4.0514
4.0514 4.0514 0.0000
Na Zn Rb
1 2 1
Direct
0.0000 0.0000 0.0000
0.2500 0.2500 0.2500
0.7500 0.7500 0.7500
0.5000 0.5000 0.5000